Material: ZnPBr2
Method: DFT, PBE-GGA
State: optimized geometry

Output
N(E_F): 1.88 states/eV/f.u.
Density: 4.31 Mg/m³
Spin magnetization: 0.0 μB per formula unit
SG: R-3m (166)
ΔE to the lowest computed polymorph: 49.4 kJ per mole of atoms

abc: 8.851 8.851 8.851
angles: 23.74 23.74 23.74
Positions (direct):
P1 0.000 0.000 0.000
Zn1 0.500 0.500 0.500
Br1 0.899 0.899 0.899
Br2 0.101 0.101 0.101